Ac6Pr2Hg: optimized geometry, PBE.

Structure (POSCAR):
```
Ac6Pr2Hg
1.0
3.995 0.000 0.000
0.000 9.354 -4.307
0.000 -0.947 10.253
Ac Pr Hg
6 2 1
Cartesian
1.997 5.758 -2.652
1.997 3.231 2.285
1.997 -0.583 6.312
0.000 2.496 -1.149
0.000 6.164 4.360
0.000 9.101 -1.572
0.000 2.486 5.399
0.000 5.920 0.547
1.997 9.353 -4.307
```

---

AcPr2Hg2: optimized geometry, PBE.

## Properties
Energy relative to the lowest polymorph listed for this composition, meV/atom: 82

Structure (POSCAR):
```
AcPr2Hg2
1.0
7.103 -2.446 0.199
-4.711 5.852 0.199
-0.628 -0.894 11.449
Ac Pr Hg
2 4 4
Cartesian
2.311 1.190 8.885
-0.547 1.322 2.962
1.646 -0.520 5.550
-0.166 2.628 11.473
0.119 3.033 6.297
1.930 -0.116 0.374
-0.941 0.931 8.686
3.382 -1.438 2.962
-1.618 3.950 8.885
2.705 1.581 3.160
```

---

Ac2PrHg2: optimized geometry, PBE.

## Properties
Energy relative to the lowest polymorph listed for this composition, meV/atom: 0

Structure (POSCAR):
```
Ac2PrHg2
1.0
4.205 0.000 0.000
2.102 6.692 0.235
2.102 2.018 6.385
Ac Pr Hg
2 1 2
Cartesian
2.102 2.555 1.941
6.307 6.156 4.678
0.000 0.000 0.000
4.205 3.419 4.543
4.205 5.292 2.077
```

---

AcPr2Hg6: optimized geometry, PBE.

## Properties
Energy relative to the lowest polymorph listed for this composition, meV/atom: 27

Structure (POSCAR):
```
AcPr2Hg6
1.0
-2.613 -2.712 -0.825
2.422 -2.542 -8.320
5.168 -7.228 -1.613
Ac Pr Hg
1 2 6
Cartesian
2.488 -6.241 -5.379
0.184 -2.387 -1.743
4.792 -10.095 -9.015
1.541 -2.832 -4.578
3.436 -9.650 -6.180
2.462 -7.989 -8.558
4.698 -6.427 -2.760
2.891 -3.343 -7.173
2.515 -4.494 -2.200
```

---

| no. | electronic total energy (Ry per atom) | Fermi-level density of states (states/eV/atom) | calculated formation energy (meV/atom) |
| --- | --- | --- | --- |
| 1 | -0.288 | 1.514 | -90 |
| 2 | -0.224 | 1.043 | -200 |
| 3 | -0.223 | 1.082 | -315 |
| 4 | -0.157 | 0.586 | -411 |